## MoSI2N (PBE)

Data for a relaxed structure of MoSI2N.

a = 5.493 Å, b = 5.493 Å, c = 3.826 Å
α = 90.00°, β = 90.00°, γ = 90.00°
Positions (direct):
Mo 0.000 0.000 0.000
S 0.500 0.500 0.500
I 0.000 0.500 0.000
I 0.500 0.000 0.000
N 0.000 0.000 0.500

Properties
- Density: 5.693 g/cm3
- ΔE to the lowest computed polymorph: 0 meV/atom
- Space group: No. 123
- Magnetic moment: 0.19 Bohr magnetons per cell
- Formation energy from raw total energies: 0.62 eV per atom


## MoSI2N (PBE)

Data for a relaxed structure of MoSI2N.

a = 5.862 Å, b = 5.862 Å, c = 3.404 Å
α = 90.00°, β = 90.00°, γ = 90.00°
Positions (direct):
Mo 0.000 0.000 0.000
S 0.500 0.500 0.500
I 0.000 0.500 0.500
I 0.500 0.000 0.500
N 0.500 0.500 0.000

Properties
- Density: 5.618 g/cm3
- ΔE to the lowest computed polymorph: 735 meV/atom
- Space group: No. 123
- Magnetic moment: 3.88 Bohr magnetons per cell
- Formation energy from raw total energies: 1.35 eV per atom


## MoSIN2 (PBE)

Data for a relaxed structure of MoSIN2.

a = 3.909 Å, b = 3.909 Å, c = 5.963 Å
α = 90.00°, β = 90.00°, γ = 90.00°
Positions (direct):
Mo 0.000 0.000 0.000
S 0.500 0.500 0.500
I 0.000 0.000 0.500
N 0.000 0.500 0.000
N 0.500 0.000 0.000

Properties
- Density: 5.156 g/cm3
- ΔE to the lowest computed polymorph: 128 meV/atom
- Space group: No. 123
- Magnetic moment: 0.00 Bohr magnetons per cell
- Formation energy from raw total energies: 0.79 eV per atom


## MoSIN2 (PBE)

Data for a relaxed structure of MoSIN2.

a = 3.965 Å, b = 3.965 Å, c = 5.379 Å
α = 90.00°, β = 90.00°, γ = 90.00°
Positions (direct):
Mo 0.000 0.000 0.000
S 0.000 0.000 0.500
I 0.500 0.500 0.500
N 0.000 0.500 0.000
N 0.500 0.000 0.000

Properties
- Density: 5.556 g/cm3
- ΔE to the lowest computed polymorph: 0 meV/atom
- Space group: No. 123
- Magnetic moment: 0.83 Bohr magnetons per cell
- Formation energy from raw total energies: 0.66 eV per atom


## MoSIN2 (PBE)

Data for a relaxed structure of MoSIN2.

a = 3.755 Å, b = 3.755 Å, c = 6.639 Å
α = 90.00°, β = 90.00°, γ = 90.00°
Positions (direct):
Mo 0.000 0.000 0.000
S 0.500 0.500 0.500
I 0.500 0.500 0.000
N 0.000 0.500 0.500
N 0.500 0.000 0.500

Properties
- Density: 5.018 g/cm3
- ΔE to the lowest computed polymorph: 1440 meV/atom
- Space group: No. 123
- Magnetic moment: 3.87 Bohr magnetons per cell
- Formation energy from raw total energies: 2.10 eV per atom


## MoS2IN (PBE)

Data for a relaxed structure of MoS2IN.

a = 5.187 Å, b = 5.187 Å, c = 3.889 Å
α = 90.00°, β = 90.00°, γ = 90.00°
Positions (direct):
Mo 0.000 0.000 0.000
S 0.000 0.500 0.500
S 0.500 0.000 0.500
I 0.500 0.500 0.500
N 0.500 0.500 0.000

Properties
- Density: 4.777 g/cm3
- ΔE to the lowest computed polymorph: 1356 meV/atom
- Space group: No. 123
- Magnetic moment: 3.90 Bohr magnetons per cell
- Formation energy from raw total energies: 1.72 eV per atom


## MoSIN2 (PBE)

Data for a relaxed structure of MoSIN2.

a = 3.889 Å, b = 3.889 Å, c = 6.326 Å
α = 90.00°, β = 90.00°, γ = 90.00°
Positions (direct):
Mo 0.000 0.000 0.000
S 0.500 0.500 0.000
I 0.500 0.500 0.500
N 0.000 0.500 0.500
N 0.500 0.000 0.500

Properties
- Density: 4.911 g/cm3
- ΔE to the lowest computed polymorph: 1426 meV/atom
- Space group: No. 123
- Magnetic moment: 4.07 Bohr magnetons per cell
- Formation energy from raw total energies: 2.09 eV per atom


## SbMoI2N (PBE)

Data for a relaxed structure of SbMoI2N.

a = 5.319 Å, b = 5.319 Å, c = 5.293 Å
α = 90.00°, β = 90.00°, γ = 90.00°
Positions (direct):
Sb 0.000 0.000 0.000
Mo 0.000 0.000 0.500
I 0.000 0.500 0.500
I 0.500 0.000 0.500
N 0.500 0.500 0.000

Properties
- Density: 5.383 g/cm3
- ΔE to the lowest computed polymorph: 1257 meV/atom
- Space group: No. 123
- Magnetic moment: 0.00 Bohr magnetons per cell
- Formation energy from raw total energies: 1.72 eV per atom


## SbMoI2N (PBE)

Data for a relaxed structure of SbMoI2N.

a = 4.838 Å, b = 4.838 Å, c = 4.987 Å
α = 90.00°, β = 90.00°, γ = 90.00°
Positions (direct):
Sb 0.000 0.000 0.000
Mo 0.500 0.500 0.000
I 0.000 0.500 0.500
I 0.500 0.000 0.500
N 0.000 0.000 0.500

Properties
- Density: 6.908 g/cm3
- ΔE to the lowest computed polymorph: 949 meV/atom
- Space group: No. 123
- Magnetic moment: 3.51 Bohr magnetons per cell
- Formation energy from raw total energies: 1.42 eV per atom


## SbMoIN2 (PBE)

Data for a relaxed structure of SbMoIN2.

a = 4.096 Å, b = 4.096 Å, c = 7.049 Å
α = 90.00°, β = 90.00°, γ = 90.00°
Positions (direct):
Sb 0.000 0.000 0.000
Mo 0.500 0.500 0.500
I 0.000 0.000 0.500
N 0.000 0.500 0.000
N 0.500 0.000 0.000

Properties
- Density: 5.233 g/cm3
- ΔE to the lowest computed polymorph: 771 meV/atom
- Space group: No. 123
- Magnetic moment: 5.61 Bohr magnetons per cell
- Formation energy from raw total energies: 1.75 eV per atom


## SbMoI2N (PBE)

Data for a relaxed structure of SbMoI2N.

a = 5.725 Å, b = 5.725 Å, c = 3.835 Å
α = 90.00°, β = 90.00°, γ = 90.00°
Positions (direct):
Sb 0.000 0.000 0.000
Mo 0.500 0.500 0.500
I 0.000 0.500 0.500
I 0.500 0.000 0.500
N 0.500 0.500 0.000

Properties
- Density: 6.416 g/cm3
- ΔE to the lowest computed polymorph: 0 meV/atom
- Space group: No. 123
- Magnetic moment: 0.99 Bohr magnetons per cell
- Formation energy from raw total energies: 0.47 eV per atom


## SbMoI2N (PBE)

Data for a relaxed structure of SbMoI2N.

a = 6.197 Å, b = 6.197 Å, c = 3.980 Å
α = 90.00°, β = 90.00°, γ = 90.00°
Positions (direct):
Sb 0.000 0.000 0.000
Mo 0.500 0.500 0.500
I 0.000 0.500 0.000
I 0.500 0.000 0.000
N 0.000 0.000 0.500

Properties
- Density: 5.275 g/cm3
- ΔE to the lowest computed polymorph: 808 meV/atom
- Space group: No. 123
- Magnetic moment: 4.92 Bohr magnetons per cell
- Formation energy from raw total energies: 1.27 eV per atom


## SbMoIN2 (PBE)

Data for a relaxed structure of SbMoIN2.

a = 4.119 Å, b = 4.119 Å, c = 5.609 Å
α = 90.00°, β = 90.00°, γ = 90.00°
Positions (direct):
Sb 0.000 0.000 0.000
Mo 0.500 0.500 0.500
I 0.500 0.500 0.000
N 0.000 0.500 0.500
N 0.500 0.000 0.500

Properties
- Density: 6.503 g/cm3
- ΔE to the lowest computed polymorph: 0 meV/atom
- Space group: No. 123
- Magnetic moment: 0.00 Bohr magnetons per cell
- Formation energy from raw total energies: 0.98 eV per atom


## Sc2MoIN (PBE)

Data for a relaxed structure of Sc2MoIN.

a = 5.327 Å, b = 5.327 Å, c = 4.873 Å
α = 90.00°, β = 90.00°, γ = 90.00°
Positions (direct):
Sc 0.000 0.500 0.000
Sc 0.500 0.000 0.000
Mo 0.000 0.000 0.500
I 0.000 0.000 0.000
N 0.500 0.500 0.500

Properties
- Density: 3.924 g/cm3
- Space group: No. 123
- Magnetic moment: 2.11 Bohr magnetons per cell
- Formation energy from raw total energies: 2.01 eV per atom


## ScMoI2N (PBE)

Data for a relaxed structure of ScMoI2N.

a = 5.634 Å, b = 5.634 Å, c = 3.824 Å
α = 90.00°, β = 90.00°, γ = 90.00°
Positions (direct):
Sc 0.000 0.000 0.000
Mo 0.500 0.500 0.500
I 0.000 0.500 0.500
I 0.500 0.000 0.500
N 0.500 0.500 0.000

Properties
- Density: 5.591 g/cm3
- ΔE to the lowest computed polymorph: 0 meV/atom
- Space group: No. 123
- Magnetic moment: 0.48 Bohr magnetons per cell
- Formation energy from raw total energies: 0.22 eV per atom


## ScMoI2N (PBE)

Data for a relaxed structure of ScMoI2N.

a = 5.909 Å, b = 5.909 Å, c = 3.903 Å
α = 90.00°, β = 90.00°, γ = 90.00°
Positions (direct):
Sc 0.000 0.000 0.000
Mo 0.500 0.500 0.500
I 0.000 0.500 0.000
I 0.500 0.000 0.000
N 0.000 0.000 0.500

Properties
- Density: 4.980 g/cm3
- ΔE to the lowest computed polymorph: 328 meV/atom
- Space group: No. 123
- Magnetic moment: 5.27 Bohr magnetons per cell
- Formation energy from raw total energies: 0.55 eV per atom


## MoSeIN2 (PBE)

Data for a relaxed structure of MoSeIN2.

a = 3.993 Å, b = 3.993 Å, c = 5.602 Å
α = 90.00°, β = 90.00°, γ = 90.00°
Positions (direct):
Mo 0.000 0.000 0.000
Se 0.000 0.000 0.500
I 0.500 0.500 0.500
N 0.000 0.500 0.000
N 0.500 0.000 0.000

Properties
- Density: 6.133 g/cm3
- ΔE to the lowest computed polymorph: 0 meV/atom
- Space group: No. 123
- Magnetic moment: 0.00 Bohr magnetons per cell
- Formation energy from raw total energies: 0.64 eV per atom


## MoSe2IN (PBE)

Data for a relaxed structure of MoSe2IN.

a = 5.467 Å, b = 5.467 Å, c = 3.904 Å
α = 90.00°, β = 90.00°, γ = 90.00°
Positions (direct):
Mo 0.000 0.000 0.000
Se 0.000 0.500 0.500
Se 0.500 0.000 0.500
I 0.500 0.500 0.500
N 0.500 0.500 0.000

Properties
- Density: 5.619 g/cm3
- ΔE to the lowest computed polymorph: 1350 meV/atom
- Space group: No. 123
- Magnetic moment: 3.91 Bohr magnetons per cell
- Formation energy from raw total energies: 1.66 eV per atom


## MoSeIN2 (PBE)

Data for a relaxed structure of MoSeIN2.

a = 3.921 Å, b = 3.921 Å, c = 6.955 Å
α = 90.00°, β = 90.00°, γ = 90.00°
Positions (direct):
Mo 0.000 0.000 0.000
Se 0.500 0.500 0.000
I 0.500 0.500 0.500
N 0.000 0.500 0.500
N 0.500 0.000 0.500

Properties
- Density: 5.121 g/cm3
- ΔE to the lowest computed polymorph: 1422 meV/atom
- Space group: No. 123
- Magnetic moment: 3.97 Bohr magnetons per cell
- Formation energy from raw total energies: 2.06 eV per atom


## MoSe2IN (PBE)

Data for a relaxed structure of MoSe2IN.

a = 5.177 Å, b = 5.177 Å, c = 3.854 Å
α = 90.00°, β = 90.00°, γ = 90.00°
Positions (direct):
Mo 0.000 0.000 0.000
Se 0.000 0.500 0.000
Se 0.500 0.000 0.000
I 0.500 0.500 0.500
N 0.000 0.000 0.500

Properties
- Density: 6.345 g/cm3
- ΔE to the lowest computed polymorph: 0 meV/atom
- Space group: No. 123
- Magnetic moment: 0.00 Bohr magnetons per cell
- Formation energy from raw total energies: 0.31 eV per atom


## MoSeIN2 (PBE)

Data for a relaxed structure of MoSeIN2.

a = 3.966 Å, b = 3.966 Å, c = 5.995 Å
α = 90.00°, β = 90.00°, γ = 90.00°
Positions (direct):
Mo 0.000 0.000 0.000
Se 0.500 0.500 0.500
I 0.000 0.000 0.500
N 0.000 0.500 0.000
N 0.500 0.000 0.000

Properties
- Density: 5.810 g/cm3
- ΔE to the lowest computed polymorph: 147 meV/atom
- Space group: No. 123
- Magnetic moment: 0.00 Bohr magnetons per cell
- Formation energy from raw total energies: 0.79 eV per atom


## MoSeIN2 (PBE)

Data for a relaxed structure of MoSeIN2.

a = 3.913 Å, b = 3.913 Å, c = 7.036 Å
α = 90.00°, β = 90.00°, γ = 90.00°
Positions (direct):
Mo 0.000 0.000 0.000
Se 0.500 0.500 0.500
I 0.500 0.500 0.000
N 0.000 0.500 0.500
N 0.500 0.000 0.500

Properties
- Density: 5.085 g/cm3
- ΔE to the lowest computed polymorph: 1390 meV/atom
- Space group: No. 123
- Magnetic moment: 4.90 Bohr magnetons per cell
- Formation energy from raw total energies: 2.03 eV per atom


## SiMoI2N (PBE)

Data for a relaxed structure of SiMoI2N.

a = 5.578 Å, b = 5.578 Å, c = 3.824 Å
α = 90.00°, β = 90.00°, γ = 90.00°
Positions (direct):
Si 0.000 0.000 0.000
Mo 0.500 0.500 0.500
I 0.000 0.500 0.500
I 0.500 0.000 0.500
N 0.500 0.500 0.000

Properties
- Density: 5.469 g/cm3
- ΔE to the lowest computed polymorph: 0 meV/atom
- Space group: No. 123
- Magnetic moment: 0.01 Bohr magnetons per cell
- Formation energy from raw total energies: 0.66 eV per atom


## SiMoIN2 (PBE)

Data for a relaxed structure of SiMoIN2.

a = 3.998 Å, b = 3.998 Å, c = 5.662 Å
α = 90.00°, β = 90.00°, γ = 90.00°
Positions (direct):
Si 0.000 0.000 0.000
Mo 0.500 0.500 0.500
I 0.500 0.500 0.000
N 0.000 0.500 0.500
N 0.500 0.000 0.500

Properties
- Density: 5.119 g/cm3
- ΔE to the lowest computed polymorph: 0 meV/atom
- Space group: No. 123
- Magnetic moment: 0.10 Bohr magnetons per cell
- Formation energy from raw total energies: 0.96 eV per atom


## SiMoIN2 (PBE)

Data for a relaxed structure of SiMoIN2.

a = 3.631 Å, b = 3.631 Å, c = 6.405 Å
α = 90.00°, β = 90.00°, γ = 90.00°
Positions (direct):
Si 0.000 0.000 0.000
Mo 0.500 0.500 0.500
I 0.000 0.000 0.500
N 0.000 0.500 0.000
N 0.500 0.000 0.000

Properties
- Density: 5.484 g/cm3
- ΔE to the lowest computed polymorph: 481 meV/atom
- Space group: No. 123
- Magnetic moment: 0.00 Bohr magnetons per cell
- Formation energy from raw total energies: 1.45 eV per atom


## SiMoI2N (PBE)

Data for a relaxed structure of SiMoI2N.

a = 5.740 Å, b = 5.740 Å, c = 3.368 Å
α = 90.00°, β = 90.00°, γ = 90.00°
Positions (direct):
Si 0.000 0.000 0.000
Mo 0.500 0.500 0.500
I 0.000 0.500 0.000
I 0.500 0.000 0.000
N 0.000 0.000 0.500

Properties
- Density: 5.863 g/cm3
- ΔE to the lowest computed polymorph: 203 meV/atom
- Space group: No. 123
- Magnetic moment: 4.01 Bohr magnetons per cell
- Formation energy from raw total energies: 0.86 eV per atom


## SnMoIN2 (PBE)

Data for a relaxed structure of SnMoIN2.

a = 4.106 Å, b = 4.106 Å, c = 6.720 Å
α = 90.00°, β = 90.00°, γ = 90.00°
Positions (direct):
Sn 0.000 0.000 0.000
Mo 0.500 0.500 0.500
I 0.000 0.000 0.500
N 0.000 0.500 0.000
N 0.500 0.000 0.000

Properties
- Density: 5.416 g/cm3
- ΔE to the lowest computed polymorph: 992 meV/atom
- Space group: No. 123
- Magnetic moment: 5.39 Bohr magnetons per cell
- Formation energy from raw total energies: 1.78 eV per atom


## SnMoIN2 (PBE)

Data for a relaxed structure of SnMoIN2.

a = 4.138 Å, b = 4.138 Å, c = 5.585 Å
α = 90.00°, β = 90.00°, γ = 90.00°
Positions (direct):
Sn 0.000 0.000 0.000
Mo 0.500 0.500 0.500
I 0.500 0.500 0.000
N 0.000 0.500 0.500
N 0.500 0.000 0.500

Properties
- Density: 6.418 g/cm3
- ΔE to the lowest computed polymorph: 0 meV/atom
- Space group: No. 123
- Magnetic moment: 0.00 Bohr magnetons per cell
- Formation energy from raw total energies: 0.79 eV per atom


## TaMoI2N (PBE)

Data for a relaxed structure of TaMoI2N.

a = 5.722 Å, b = 5.722 Å, c = 3.928 Å
α = 90.00°, β = 90.00°, γ = 90.00°
Positions (direct):
Ta 0.000 0.000 0.000
Mo 0.500 0.500 0.500
I 0.000 0.500 0.000
I 0.500 0.000 0.000
N 0.000 0.000 0.500

Properties
- Density: 7.034 g/cm3
- ΔE to the lowest computed polymorph: 0 meV/atom
- Space group: No. 123
- Magnetic moment: 5.31 Bohr magnetons per cell
- Formation energy from raw total energies: 0.84 eV per atom